Computed, not measured: crystalline ZnHgPb2 at its relaxed geometry at the PBE level of DFT.

Computed properties:
Formation energy from the elements: 0.5 eV per formula unit
SG: F-43m (216)
Total moment: 0.00 μB/cell

Unit cell a=7.5469 b=7.5469 c=7.5469 alpha=90.00 beta=90.00 gamma=90.00
Last column: nearest neighbours and their distance in Å.
Fractional coordinates of all 16 atoms:
Zn (0.0000, 0.0000, 0.0000)  4 Hg 3.27, 4 Pb 3.27
Zn (0.0000, 0.5000, 0.5000)  4 Hg 3.27, 4 Pb 3.27
Zn (0.5000, 0.0000, 0.5000)  4 Hg 3.27, 4 Pb 3.27
Zn (0.5000, 0.5000, 0.0000)  4 Hg 3.27, 4 Pb 3.27
Hg (0.2500, 0.2500, 0.2500)  4 Pb 3.27, 4 Zn 3.27
Hg (0.2500, 0.7500, 0.7500)  4 Pb 3.27, 4 Zn 3.27
Hg (0.7500, 0.2500, 0.7500)  4 Pb 3.27, 4 Zn 3.27
Hg (0.7500, 0.7500, 0.2500)  4 Pb 3.27, 4 Zn 3.27
Pb (0.0000, 0.0000, 0.5000)  4 Hg 3.27, 4 Pb 3.27
Pb (0.0000, 0.5000, 0.0000)  4 Hg 3.27, 4 Pb 3.27
Pb (0.2500, 0.2500, 0.7500)  4 Pb 3.27, 4 Zn 3.27
Pb (0.2500, 0.7500, 0.2500)  4 Pb 3.27, 4 Zn 3.27
Pb (0.5000, 0.0000, 0.0000)  4 Hg 3.27, 4 Pb 3.27
Pb (0.5000, 0.5000, 0.5000)  4 Hg 3.27, 4 Pb 3.27
Pb (0.7500, 0.2500, 0.2500)  4 Pb 3.27, 4 Zn 3.27
Pb (0.7500, 0.7500, 0.7500)  4 Pb 3.27, 4 Zn 3.27